# 1
Crystalline ZnNi at its relaxed geometry, computed with GGA-PBEsol.

Results
The value obtained for the formation energy is -4.27 kcal/mol of atoms. The value obtained for the electronic total energy is -4.05 eV per atom.

POSCAR file:
```
ZnNi
1.0
-1.7869 1.7869 3.6174
1.7869 -1.7869 3.6174
1.7869 1.7869 -3.6174
Zn Ni
2 2
direct
0.3750 0.6250 0.7500
0.6250 0.3750 0.2500
0.1250 0.8750 0.2500
0.8750 0.1250 0.7500
```

=====

# 2
Crystalline Zn3Ni2 at its relaxed geometry, computed with GGA-PBEsol.

Results
The value obtained for the formation energy is -2.81 kcal/mol of atoms. The value obtained for the electronic total energy is -3.53 eV per atom.

POSCAR file:
```
Zn3Ni2
1.0
3.9811 0.0000 0.0000
-1.9906 3.4478 0.0000
0.0000 0.0000 4.8393
Zn Ni
3 2
direct
0.0000 0.0000 0.0000
0.3333 0.6667 0.3615
0.6667 0.3333 0.6385
0.3333 0.6667 0.8630
0.6667 0.3333 0.1370
```

=====

# 3
Crystalline Zn2Ni at its relaxed geometry, computed with GGA-PBEsol.

Results
The value obtained for the formation energy is -3.61 kcal/mol of atoms. The value obtained for the electronic total energy is -3.26 eV per atom.

POSCAR file:
```
Zn2Ni
1.0
4.6977 -1.3189 0.0000
4.6977 1.3189 0.0000
-1.5055 0.0000 5.9169
Zn Ni
4 2
direct
0.0000 0.0000 0.0000
0.0560 0.0560 0.5957
0.3763 0.3763 0.2858
0.7231 0.7231 0.9317
0.3347 0.3347 0.6674
0.6598 0.6598 0.3240
```